## TaBeCd3 (meta-GGA SCAN)

Data for a PBEsol-optimized structure of TaBeCd3.

a b c (Å): 4.4811 4.4811 4.4811
angles (deg): 90.00 90.00 90.00
With the nearest neighbours (Å) after each atom.
Fractional positions:
Be (0.0000, 0.0000, 0.0000)  6 Cd 2.24
Cd (0.0000, 0.5000, 0.0000)  2 Be 2.24
Cd (0.5000, 0.0000, 0.0000)  2 Be 2.24
Cd (0.0000, 0.0000, 0.5000)  2 Be 2.24
Ta (0.5000, 0.5000, 0.5000)  12 Cd 3.17

Calculated values
Magnetization, Bohr magnetons per cell: 0.000
ρ, g cm⁻³: 9.73
ΔE_f, eV per atom: 0.913